{
  "formula": "ZrFe",
  "functional": "PBE",
  "state": "optimized geometry",
  "delta_e_f_ev_per_atom": 0.0823,
  "dft_energy_ev_per_atom": -8.423,
  "lattice": [[5.091, 0.000, 0.000], [0.000, 5.091, 0.000], [0.000, 0.000, 5.091]],
  "species": ["Zr", "Zr", "Zr", "Zr", "Fe", "Fe", "Fe", "Fe"],
  "fractional_positions": [[0.078, 0.078, 0.078], [0.422, 0.922, 0.578], [0.578, 0.422, 0.922], [0.922, 0.578, 0.422], [0.084, 0.584, 0.916], [0.416, 0.416, 0.416], [0.584, 0.916, 0.084], [0.916, 0.084, 0.584]]
}

***

{
  "formula": "ZrFe",
  "functional": "PBE",
  "state": "optimized geometry",
  "delta_e_f_ev_per_atom": 0.0564,
  "dft_energy_ev_per_atom": -8.449,
  "lattice": [[5.034, -1.604, 0.000], [5.034, 1.604, 0.000], [-2.681, 0.000, 6.332]],
  "species": ["Zr", "Zr", "Zr", "Fe", "Fe", "Fe"],
  "fractional_positions": [[0.000, 0.000, 0.000], [0.331, 0.331, 0.217], [0.669, 0.669, 0.783], [0.000, 0.000, 0.500], [0.343, 0.343, 0.632], [0.657, 0.657, 0.368]]
}

***

{
  "formula": "ZrFe4",
  "functional": "PBE",
  "state": "optimized geometry",
  "delta_e_f_ev_per_atom": 0.0133,
  "dft_energy_ev_per_atom": -8.467,
  "lattice": [[-3.342, 3.342, 1.520], [3.342, -3.342, 1.520], [3.342, 3.342, -1.520]],
  "species": ["Zr", "Fe", "Fe", "Fe", "Fe"],
  "fractional_positions": [[0.000, 0.000, 0.000], [0.180, 0.393, 0.574], [0.393, 0.820, 0.213], [0.607, 0.180, 0.787], [0.820, 0.607, 0.426]]
}

***

{
  "formula": "ZrFe",
  "functional": "PBE",
  "state": "optimized geometry",
  "delta_e_f_ev_per_atom": 0.2610,
  "dft_energy_ev_per_atom": -8.244,
  "lattice": [[3.301, 0.000, 0.000], [-1.651, 2.859, 0.000], [0.000, 0.000, 3.780]],
  "species": ["Zr", "Fe"],
  "fractional_positions": [[0.000, 0.000, 0.000], [0.667, 0.333, 0.500]]
}

***

{
  "formula": "Zr3Fe",
  "functional": "PBE",
  "state": "optimized geometry",
  "delta_e_f_ev_per_atom": 0.1136,
  "dft_energy_ev_per_atom": -8.413,
  "lattice": [[5.425, 0.000, 0.000], [0.000, 5.425, 0.000], [0.000, 0.000, 5.425]],
  "species": ["Zr", "Zr", "Zr", "Zr", "Zr", "Zr", "Fe", "Fe"],
  "fractional_positions": [[0.000, 0.250, 0.500], [0.000, 0.750, 0.500], [0.250, 0.500, 0.000], [0.500, 0.000, 0.250], [0.500, 0.000, 0.750], [0.750, 0.500, 0.000], [0.000, 0.000, 0.000], [0.500, 0.500, 0.500]]
}

***

{
  "formula": "Zr2Fe",
  "functional": "PBE",
  "state": "optimized geometry",
  "delta_e_f_ev_per_atom": 0.7838,
  "dft_energy_ev_per_atom": -7.736,
  "lattice": [[0.000, 3.966, 3.966], [3.966, 0.000, 3.966], [3.966, 3.966, 0.000]],
  "species": ["Zr", "Zr", "Zr", "Zr", "Fe", "Fe"],
  "fractional_positions": [[0.000, 0.000, 0.000], [0.000, 0.000, 0.500], [0.000, 0.500, 0.000], [0.500, 0.000, 0.000], [0.375, 0.375, 0.375], [0.625, 0.625, 0.625]]
}

***

{
  "formula": "Zr4Fe",
  "functional": "PBE",
  "state": "optimized geometry",
  "delta_e_f_ev_per_atom": -0.0454,
  "dft_energy_ev_per_atom": -8.576,
  "lattice": [[-3.938, 3.938, 1.639], [3.938, -3.938, 1.639], [3.938, 3.938, -1.639]],
  "species": ["Zr", "Zr", "Zr", "Zr", "Fe"],
  "fractional_positions": [[0.082, 0.272, 0.353], [0.272, 0.918, 0.190], [0.728, 0.082, 0.810], [0.918, 0.728, 0.647], [0.500, 0.500, 0.000]]
}

***

{
  "formula": "Zr3Fe",
  "functional": "PBE",
  "state": "optimized geometry",
  "delta_e_f_ev_per_atom": 0.2171,
  "dft_energy_ev_per_atom": -8.310,
  "lattice": [[3.072, 0.000, 0.000], [0.000, 3.168, 0.000], [0.000, 0.000, 8.661]],
  "species": ["Zr", "Zr", "Zr", "Fe"],
  "fractional_positions": [[0.000, 0.000, 0.000], [0.000, 0.500, 0.342], [0.500, 0.500, 0.735], [0.500, 0.000, 0.500]]
}

***

{
  "formula": "Zr2Fe",
  "functional": "PBE",
  "state": "optimized geometry",
  "delta_e_f_ev_per_atom": -0.0748,
  "dft_energy_ev_per_atom": -8.594,
  "lattice": [[1.636, -7.016, 0.000], [1.636, 7.016, 0.000], [0.000, 0.000, 4.819]],
  "species": ["Zr", "Zr", "Zr", "Zr", "Fe", "Fe"],
  "fractional_positions": [[0.074, 0.926, 0.750], [0.225, 0.775, 0.250], [0.775, 0.225, 0.750], [0.926, 0.074, 0.250], [0.424, 0.576, 0.750], [0.576, 0.424, 0.250]]
}

***

{
  "formula": "Zr2Fe3",
  "functional": "PBE",
  "state": "optimized geometry",
  "delta_e_f_ev_per_atom": 0.0911,
  "dft_energy_ev_per_atom": -8.406,
  "lattice": [[3.908, 0.000, 0.000], [-1.954, 3.384, 0.000], [0.000, 0.000, 6.416]],
  "species": ["Zr", "Zr", "Fe", "Fe", "Fe"],
  "fractional_positions": [[0.333, 0.667, 0.179], [0.667, 0.333, 0.821], [0.000, 0.000, 0.500], [0.333, 0.667, 0.609], [0.667, 0.333, 0.391]]
}

***

{
  "formula": "Zr5Fe2",
  "functional": "PBE",
  "state": "optimized geometry",
  "delta_e_f_ev_per_atom": -0.1044,
  "dft_energy_ev_per_atom": -8.628,
  "lattice": [[7.479, -2.938, 0.000], [7.479, 2.938, 0.000], [-0.627, 0.000, 6.338]],
  "species": ["Zr", "Zr", "Zr", "Zr", "Zr", "Zr", "Zr", "Zr", "Zr", "Zr", "Fe", "Fe", "Fe", "Fe"],
  "fractional_positions": [[0.074, 0.926, 0.750], [0.149, 0.289, 0.315], [0.289, 0.149, 0.815], [0.294, 0.519, 0.082], [0.481, 0.706, 0.418], [0.519, 0.294, 0.582], [0.706, 0.481, 0.918], [0.711, 0.851, 0.185], [0.851, 0.711, 0.685], [0.926, 0.074, 0.250], [0.095, 0.684, 0.428], [0.316, 0.905, 0.072], [0.684, 0.095, 0.928], [0.905, 0.316, 0.572]]
}

***

{
  "formula": "ZrFe",
  "functional": "PBE",
  "state": "optimized geometry",
  "delta_e_f_ev_per_atom": 0.2570,
  "dft_energy_ev_per_atom": -8.248,
  "lattice": [[3.259, 0.000, 0.000], [-1.629, 2.822, 0.000], [0.000, 0.000, 7.847]],
  "species": ["Zr", "Zr", "Fe", "Fe"],
  "fractional_positions": [[0.333, 0.667, 0.333], [0.667, 0.333, 0.667], [0.333, 0.667, 0.913], [0.667, 0.333, 0.087]]
}